Entry from Alexandria via LeMat-Bulk: a relaxed Ba2NiGeAu6 crystal (GGA-PBE).

a b c (Å): 6.892 7.217 6.883
angles (deg): 61.83 59.90 90.04
Positions (direct):
Ba 0.719 0.160 0.563
Ba 0.281 0.840 0.437
Ni 0.000 0.000 0.000
Ge 0.500 0.500 0.000
Au 0.247 0.310 0.509
Au 0.757 0.688 0.063
Au 0.181 0.689 0.061
Au 0.819 0.311 0.939
Au 0.243 0.312 0.937
Au 0.753 0.690 0.491

Results
**Calculated formation energy**: -0.4358 eV per atom
**Total energy**: -3.827 eV per atom
**Symmetry**: P-1 (2)